1.
An optimized crystal structure of LiCeAlPt2. Source: Alexandria, functional PBE-GGA.

Values from the calculation:
- Electronic total energy: -56.60 eV for the cell shown
- Calculated density: 10.0 g cm⁻³
- DFT formation energy: -0.93 eV per atom
- Size of the total moment: 0.8 μB/f.u.

```
data_LiCeAlPt2
_chemical_formula_sum 'Li2 Ce2 Al2 Pt4'
_symmetry_space_group_name_H-M 'I -4 m 2'
_symmetry_Int_Tables_number 119
_symmetry_space_group_name_Hall 'I -4 -2'
_cell_length_a 3.913
_cell_length_b 3.913
_cell_length_c 12.202
_cell_angle_alpha 90.00
_cell_angle_beta 90.00
_cell_angle_gamma 90.00
loop_
_atom_site_label
_atom_site_type_symbol
_atom_site_fract_x
_atom_site_fract_y
_atom_site_fract_z
Li1 Li 0.000 0.000 0.000
Ce1 Ce 0.000 0.500 0.750
Al1 Al 0.000 0.000 0.500
Pt1 Pt 0.000 0.500 0.136
```



2.
An optimized crystal structure of Ca2Ga2SnPt5. Source: Alexandria, functional PBE-GGA.

Values from the calculation:
- Electronic total energy: -104.21 eV for the cell shown
- Calculated density: 11.8 g cm⁻³
- DFT formation energy: -0.78 eV per atom
- Size of the total moment: 0.0 μB/f.u.

```
data_Ca2Ga2SnPt5
_chemical_formula_sum 'Ca4 Ga4 Sn2 Pt10'
_symmetry_space_group_name_H-M 'P 4/m b m'
_symmetry_Int_Tables_number 127
_symmetry_space_group_name_Hall '-P 4 2ab'
_cell_length_a 9.843
_cell_length_b 9.843
_cell_length_c 3.803
_cell_angle_alpha 90.00
_cell_angle_beta 90.00
_cell_angle_gamma 90.00
loop_
_atom_site_label
_atom_site_type_symbol
_atom_site_fract_x
_atom_site_fract_y
_atom_site_fract_z
Ca1 Ca 0.176 0.324 0.000
Ga1 Ga 0.122 0.622 0.000
Sn1 Sn 0.000 0.000 0.000
Pt1 Pt 0.000 0.500 0.500
Pt2 Pt 0.066 0.791 0.500
```